Computed, not measured: a relaxed structure of Li3Be4Au9 at the PBE level of DFT.

The structure in CIF format:
```
data_Li3Be4Au9
_chemical_formula_sum 'Li3 Be4 Au9'
_symmetry_space_group_name_H-M 'P 1'
_symmetry_Int_Tables_number 1
_cell_length_a 8.7631
_cell_length_b 8.7631
_cell_length_c 8.7631
_cell_angle_alpha 42.50
_cell_angle_beta 42.50
_cell_angle_gamma 42.50
loop_
_symmetry_equiv_pos_as_xyz
'x,y,z'
loop_
_atom_site_label
_atom_site_fract_x
_atom_site_fract_y
_atom_site_fract_z
Li1 0.0000 0.0000 0.0000
Li2 0.1565 0.1565 0.1565
Li3 0.5718 0.5718 0.5718
Be1 0.2972 0.2972 0.2972
Be2 0.3925 0.3925 0.3925
Be3 0.7510 0.7510 0.7510
Be4 0.8430 0.8430 0.8430
Au1 0.0152 0.1190 0.5894
Au2 0.1190 0.5894 0.0152
Au3 0.1735 0.5632 0.6630
Au4 0.4854 0.5742 0.9722
Au5 0.5632 0.6630 0.1735
Au6 0.5742 0.9722 0.4854
Au7 0.5894 0.0152 0.1190
Au8 0.6631 0.1735 0.5632
Au9 0.9722 0.4854 0.5742
```

Results
energy of formation	-357	kJ/mol of formula units
magnetic moment	0.0000	μB per atom

=====

Computed, not measured: a relaxed structure of V3Cr2Ni at the PBE level of DFT.

The structure in CIF format:
```
data_V3Cr2Ni
_chemical_formula_sum 'V3 Cr2 Ni1'
_symmetry_space_group_name_H-M 'P 1'
_symmetry_Int_Tables_number 1
_cell_length_a 2.9343
_cell_length_b 2.9343
_cell_length_c 8.6136
_cell_angle_alpha 90.00
_cell_angle_beta 90.00
_cell_angle_gamma 90.00
loop_
_symmetry_equiv_pos_as_xyz
'x,y,z'
loop_
_atom_site_label
_atom_site_fract_x
_atom_site_fract_y
_atom_site_fract_z
V1 0.0000 0.0000 0.0000
V2 0.0000 0.0000 0.3269
V3 0.0000 0.0000 0.6731
Cr1 0.5000 0.5000 0.1714
Cr2 0.5000 0.5000 0.8286
Ni1 0.5000 0.5000 0.5000
```

Results
energy of formation	-47	kJ/mol of formula units
magnetic moment	0.0025	μB per atom

=====

Among the records above, which one has the highest magnetic moment? V3Cr2Ni